Compound: Er3TeSe
Source: Alexandria via LeMat-Bulk
Functional: PBE-GGA
Structure: optimized geometry

Computed properties:
**DFT total energy**: -5.016 eV/atom
**ρ**: 8.89 Mg/m³
**Volume**: 264.8 Å³ per cell
**Total magnetic moment**: 0.0 μB per cell
**E above lowest polymorph**: 0.0247 eV/atom
**Formation energy from raw total energies**: -953 meV/atom

```
Er3TeSe
1.0
-2.082 2.095 4.477
4.531 -2.151 3.113
4.265 7.069 -1.324
Er Te Se
6 2 2
direct
0.000 0.189 0.238 Er
0.500 0.439 0.500 Er
0.500 0.189 0.861 Er
0.000 0.689 0.762 Er
0.500 0.939 0.500 Er
0.500 0.689 0.139 Er
0.000 0.689 0.366 Te
0.000 0.189 0.634 Te
0.500 0.189 0.191 Se
0.500 0.689 0.809 Se
```



Compound: Er4TeSe5
Source: Alexandria via LeMat-Bulk
Functional: PBE-GGA
Structure: optimized geometry

Computed properties:
**DFT total energy**: -5.591 eV/atom
**ρ**: 6.57 Mg/m³
**Volume**: 301.0 Å³ per cell
**Total magnetic moment**: 0.0 μB per cell
**Formation energy from raw total energies**: -1710 meV/atom

```
Er4TeSe5
1.0
-3.384 -1.641 -1.678
4.013 -7.491 -0.766
-2.230 0.720 8.846
Er Se Te
4 5 1
direct
0.316 0.877 0.633 Er
0.006 0.274 0.011 Er
0.684 0.123 0.367 Er
0.994 0.726 0.989 Er
0.836 0.670 0.672 Se
0.840 0.129 0.680 Se
0.500 0.500 0.000 Se
0.164 0.330 0.328 Se
0.160 0.871 0.320 Se
0.500 0.000 0.000 Te
```



Compound: Er4TeSe3
Source: Alexandria via LeMat-Bulk
Functional: PBE-GGA
Structure: optimized geometry

Computed properties:
**DFT total energy**: -5.378 eV/atom
**ρ**: 7.36 Mg/m³
**Volume**: 466.5 Å³ per cell
**Total magnetic moment**: 0.0 μB per cell
**E above lowest polymorph**: 0.2017 eV/atom
**Formation energy from raw total energies**: -1397 meV/atom

```
Er4TeSe3
1.0
5.783 0.000 0.000
0.000 8.314 0.000
0.000 0.000 9.704
Er Te Se
8 2 6
direct
0.064 0.352 0.310 Er
0.564 0.119 0.500 Er
0.564 0.648 0.190 Er
0.564 0.648 0.810 Er
0.564 0.259 0.000 Er
0.064 0.881 0.000 Er
0.064 0.352 0.690 Er
0.064 0.741 0.500 Er
0.564 0.753 0.500 Te
0.064 0.247 0.000 Te
0.564 0.329 0.714 Se
0.064 0.671 0.214 Se
0.064 0.089 0.500 Se
0.564 0.329 0.286 Se
0.064 0.671 0.786 Se
0.564 0.911 0.000 Se
```



Compound: Er2Te2Se
Source: Alexandria via LeMat-Bulk
Functional: PBE-GGA
Structure: optimized geometry

Computed properties:
**DFT total energy**: -5.209 eV/atom
**ρ**: 6.81 Mg/m³
**Volume**: 652.6 Å³ per cell
**Total magnetic moment**: 0.0 μB per cell
**Formation energy from raw total energies**: -1430 meV/atom

```
Er2Te2Se
1.0
6.169 0.000 0.000
0.000 8.508 0.000
0.000 0.000 12.434
Er Se Te
8 4 8
direct
0.250 0.154 0.923 Er
0.750 0.346 0.423 Er
0.750 0.846 0.077 Er
0.250 0.082 0.261 Er
0.250 0.582 0.239 Er
0.750 0.418 0.761 Er
0.250 0.654 0.577 Er
0.750 0.918 0.739 Er
0.250 0.317 0.107 Se
0.750 0.183 0.607 Se
0.750 0.683 0.893 Se
0.250 0.817 0.393 Se
0.750 0.069 0.276 Te
0.250 0.931 0.724 Te
0.250 0.350 0.431 Te
0.750 0.150 0.931 Te
0.750 0.650 0.569 Te
0.250 0.850 0.069 Te
0.250 0.431 0.776 Te
0.750 0.569 0.224 Te
```



Compound: Er4TeSe3
Source: Alexandria via LeMat-Bulk
Functional: PBE-GGA
Structure: optimized geometry

Computed properties:
**DFT total energy**: -5.580 eV/atom
**ρ**: 8.76 Mg/m³
**Volume**: 391.7 Å³ per cell
**Total magnetic moment**: 0.0 μB per cell
**E above lowest polymorph**: 0.0000 eV/atom
**Formation energy from raw total energies**: -1599 meV/atom

```
Er4TeSe3
1.0
-1.152 -0.925 3.775
3.088 -1.984 -1.720
17.563 18.715 9.949
Er Se Te
8 6 2
direct
0.667 0.333 0.937 Er
0.333 0.667 0.437 Er
0.667 0.333 0.563 Er
0.333 0.667 0.063 Er
0.000 0.000 0.177 Er
0.000 0.000 0.323 Er
0.000 0.000 0.823 Er
0.000 0.000 0.677 Er
0.333 0.667 0.620 Se
0.000 0.000 0.000 Se
0.333 0.667 0.880 Se
0.667 0.333 0.380 Se
0.667 0.333 0.120 Se
0.000 0.000 0.500 Se
0.667 0.333 0.750 Te
0.333 0.667 0.250 Te
```



Compound: Er3Te3Se
Source: Alexandria via LeMat-Bulk
Functional: PBE-GGA
Structure: optimized geometry

Computed properties:
**DFT total energy**: -5.080 eV/atom
**ρ**: 6.36 Mg/m³
**Volume**: 503.5 Å³ per cell
**Total magnetic moment**: 0.0 μB per cell
**Formation energy from raw total energies**: -1281 meV/atom

```
Er3Te3Se
1.0
-3.169 5.193 0.154
-2.850 -2.010 9.128
8.216 5.060 -1.544
Er Se Te
6 2 6
direct
0.750 0.172 0.829 Er
0.250 0.828 0.656 Er
0.750 0.172 0.344 Er
0.250 0.828 0.171 Er
0.750 0.656 0.828 Er
0.250 0.344 0.172 Er
0.750 0.333 0.667 Se
0.250 0.667 0.333 Se
0.250 0.180 0.820 Te
0.750 0.820 0.180 Te
0.750 0.820 0.639 Te
0.250 0.639 0.819 Te
0.250 0.180 0.361 Te
0.750 0.361 0.181 Te
```